Record 1
First-principles (PBE) data for a geometry-optimized Dy3AsP2Rh9 structure, as listed in the Alexandria database.

Computed properties:
* DFT formation energy: -0.6943 eV per atom
* total energy: -105.85 eV/f.u.
* total moment: 0.0 μB/f.u.

```
data_Dy3AsP2Rh9
_cell_length_a 6.1061
_cell_length_b 6.1061
_cell_length_c 8.6140
_cell_angle_alpha 90.00
_cell_angle_beta 90.00
_cell_angle_gamma 120.00
_symmetry_space_group_name_H-M 'P -3 m 1'
_symmetry_Int_Tables_number 164
_symmetry_space_group_name_Hall '-P 3 2"'
loop_
_atom_site_label
_atom_site_type_symbol
_atom_site_fract_x
_atom_site_fract_y
_atom_site_fract_z
Dy1 Dy 0.0000 0.0000 0.0000
Dy2 Dy 0.3333 0.6667 0.7022
As1 As 0.0000 0.0000 0.5000
P1 P 0.3333 0.6667 0.1691
Rh1 Rh 0.0000 0.5000 0.0000
Rh2 Rh 0.1505 0.3010 0.2853
```

=====

Record 2
First-principles (PBE) data for a geometry-optimized K2NdF4 structure, as listed in the Alexandria database.

Computed properties:
* total energy: -35.27 eV/f.u.
* formation energy without anion corrections: -20.82 eV/f.u.
* total moment: 0.0 μB/f.u.

```
data_K2NdF4
_cell_length_a 4.691
_cell_length_b 4.691
_cell_length_c 15.404
_cell_angle_alpha 90.00
_cell_angle_beta 90.00
_cell_angle_gamma 90.00
_symmetry_space_group_name_H-M 'I 4/m m m'
_symmetry_Int_Tables_number 139
_symmetry_space_group_name_Hall '-I 4 2'
loop_
_atom_site_label
_atom_site_type_symbol
_atom_site_fract_x
_atom_site_fract_y
_atom_site_fract_z
K1 K 0.000 0.000 0.177
Nd1 Nd 0.000 0.000 0.500
F1 F 0.000 0.000 0.352
F2 F 0.000 0.500 0.000
```

=====

Record 3
First-principles (PBE) data for a geometry-optimized Sb2PdIO structure, as listed in the Alexandria database.

Computed properties:
* total energy: -16.10 eV/f.u.
* formation energy without anion corrections: 3.85 eV/f.u.
* total moment: 0.0 μB/f.u.

```
data_Sb2PdIO
_cell_length_a 5.186
_cell_length_b 5.186
_cell_length_c 5.377
_cell_angle_alpha 90.00
_cell_angle_beta 90.00
_cell_angle_gamma 90.00
_symmetry_space_group_name_H-M 'P 4/m m m'
_symmetry_Int_Tables_number 123
_symmetry_space_group_name_Hall '-P 4 2'
loop_
_atom_site_label
_atom_site_type_symbol
_atom_site_fract_x
_atom_site_fract_y
_atom_site_fract_z
Sb1 Sb 0.000 0.500 0.000
Pd1 Pd 0.000 0.000 0.000
I1 I 0.000 0.000 0.500
O1 O 0.500 0.500 0.500
```

=====

Record 4
First-principles (PBE) data for a geometry-optimized ZnOs2Rh structure, as listed in the Alexandria database.

Computed properties:
* DFT formation energy: 0.2823 eV per atom
* total energy: -29.96 eV/f.u.
* total moment: 0.0 μB/f.u.

```
data_ZnOs2Rh
_cell_length_a 2.890
_cell_length_b 4.472
_cell_length_c 8.733
_cell_angle_alpha 90.00
_cell_angle_beta 90.00
_cell_angle_gamma 90.00
_symmetry_space_group_name_H-M 'I m m 2'
_symmetry_Int_Tables_number 44
loop_
_symmetry_equiv_pos_as_xyz
'x,y,z'
'-x,-y,z'
'-x,y,z'
'x,-y,z'
'x+1/2,y+1/2,z+1/2'
'-x+1/2,-y+1/2,z+1/2'
'-x+1/2,y+1/2,z+1/2'
'x+1/2,-y+1/2,z+1/2'
loop_
_atom_site_label
_atom_site_type_symbol
_atom_site_fract_x
_atom_site_fract_y
_atom_site_fract_z
Zn1 Zn 0.000 0.000 0.000
Os1 Os 0.000 0.000 0.494
Os2 Os 0.000 0.500 0.741
Rh1 Rh 0.000 0.500 0.267
```

=====

Repeat the third record exactly.
First-principles (PBE) data for a geometry-optimized Sb2PdIO structure, as listed in the Alexandria database.

Computed properties:
* total energy: -16.10 eV/f.u.
* formation energy without anion corrections: 3.85 eV/f.u.
* total moment: 0.0 μB/f.u.

```
data_Sb2PdIO
_cell_length_a 5.186
_cell_length_b 5.186
_cell_length_c 5.377
_cell_angle_alpha 90.00
_cell_angle_beta 90.00
_cell_angle_gamma 90.00
_symmetry_space_group_name_H-M 'P 4/m m m'
_symmetry_Int_Tables_number 123
_symmetry_space_group_name_Hall '-P 4 2'
loop_
_atom_site_label
_atom_site_type_symbol
_atom_site_fract_x
_atom_site_fract_y
_atom_site_fract_z
Sb1 Sb 0.000 0.500 0.000
Pd1 Pd 0.000 0.000 0.000
I1 I 0.000 0.000 0.500
O1 O 0.500 0.500 0.500
```